ScTaAs | the Alexandria database | PBE | optimized geometry; space group = No. 12
1.0
8.2134 -1.8098 0.0000
8.2134 1.8098 0.0000
-0.4309 0.0000 8.5179
Sc Ta As
4 4 4
direct
0.0436 0.0436 0.3403
0.4066 0.4066 0.1393
0.5934 0.5934 0.8607
0.9564 0.9564 0.6597
0.2439 0.2439 0.3739
0.2462 0.2462 0.8732
0.7538 0.7538 0.1268
0.7561 0.7561 0.6261
0.1343 0.1343 0.6193
0.1366 0.1366 0.1034
0.8634 0.8634 0.8966
0.8657 0.8657 0.3807



AcLa2Er7 | the Alexandria database | PBE | optimized geometry; space group = No. 2
1.0
6.2308 0.0000 0.0000
2.0772 6.9134 0.0000
2.0543 1.1916 7.6821
Ac La Er
1 2 7
direct
0.0000 0.0000 0.0000
0.2014 0.3023 0.5970
0.7986 0.6977 0.4030
0.0000 0.5000 0.0000
0.2005 0.7990 0.5987
0.3989 0.1028 0.1995
0.4036 0.5978 0.1986
0.5964 0.4022 0.8014
0.6011 0.8972 0.8005
0.7995 0.2010 0.4013



no.,VASP energy (eV/atom),energy of formation from the pure elements (eV/atom)
1,-7.999,-0.39
2,-4.548,0.04